i:
Computed, not measured: a relaxed structure of HfSiCl2 at the GGA-PBE level of DFT.

For the calculated density, the calculation gives 5.1 g cm⁻³. Its density of states at the Fermi level is 0.69 states/eV/atom.

It has space group R-3m (No. 166, hexagonal axes), with a = 3.2883 Å, b = 3.2883 Å, c = 28.7266 Å, α = 90.00°, β = 90.00° and γ = 120.00°. The asymmetric unit holds Hf at (0.0000, 0.0000, 0.0000), Si at (0.0000, 0.0000, 0.5000) and Cl at (0.0000, 0.0000, 0.0833).



ii:
Computed, not measured: a relaxed structure of HfSiCl2 at the GGA-PBE level of DFT.

For the calculated density, the calculation gives 4.4 g cm⁻³. Its density of states at the Fermi level is 0.81 states/eV/atom.

It has space group I-42d (No. 122), with a = 8.8623 Å, b = 8.8623 Å, c = 5.3114 Å, α = 90.00°, β = 90.00° and γ = 90.00°. The asymmetric unit holds Hf at (0.0000, 0.0000, 0.0000), Si at (0.0000, 0.0000, 0.5000) and Cl at (0.1162, 0.2500, 0.1250).



iii:
Computed, not measured: a relaxed structure of HfSiCl2 at the GGA-PBE level of DFT.

For the calculated density, the calculation gives 4.4 g cm⁻³. Its density of states at the Fermi level is 0.31 states/eV/atom.

It has space group R-3m (No. 166, hexagonal axes), with a = 3.1511 Å, b = 3.1511 Å, c = 36.6127 Å, α = 90.00°, β = 90.00° and γ = 120.00°. The asymmetric unit holds Hf at (0.0000, 0.0000, 0.0000), Si at (0.0000, 0.0000, 0.5000) and Cl at (0.0000, 0.0000, 0.3837).



iv:
Computed, not measured: a relaxed structure of HfSiCl2 at the GGA-PBE level of DFT.

For the calculated density, the calculation gives 6.5 g cm⁻³. Its density of states at the Fermi level is 0.70 states/eV/atom.

It has space group Fm-3m (No. 225), with a = 6.5536 Å, b = 6.5536 Å, c = 6.5536 Å, α = 90.00°, β = 90.00° and γ = 90.00°. The asymmetric unit holds Hf at (0.0000, 0.0000, 0.0000), Si at (0.0000, 0.0000, 0.5000) and Cl at (0.2500, 0.2500, 0.2500).



Verdict on stability: iii comes out on top.



i:
Computed, not measured: a relaxed structure of HfSnCl3 at the GGA-PBE level of DFT.

For the calculated density, the calculation gives 5.3 g cm⁻³. Its density of states at the Fermi level is 0.71 states/eV/atom.

It has space group Pm-3m (No. 221), with a = 5.0206 Å, b = 5.0206 Å, c = 5.0206 Å, α = 90.00°, β = 90.00° and γ = 90.00°. The asymmetric unit holds Hf at (0.0000, 0.0000, 0.0000), Sn at (0.5000, 0.5000, 0.5000) and Cl at (0.0000, 0.0000, 0.5000).



ii:
Computed, not measured: a relaxed structure of HfSnCl3 at the GGA-PBE level of DFT.

For the calculated density, the calculation gives 4.0 g cm⁻³. Its density of states at the Fermi level is 1.66 states/eV/atom.

It has space group Pm-3m (No. 221), with a = 5.5182 Å, b = 5.5182 Å, c = 5.5182 Å, α = 90.00°, β = 90.00° and γ = 90.00°. The asymmetric unit holds Hf at (0.0000, 0.0000, 0.0000), Sn at (0.5000, 0.5000, 0.5000) and Cl at (0.0000, 0.5000, 0.5000).



Verdict on stability: i comes out on top.